First-principles (PBE) data for a relaxed TmTcO4 crystal, as listed in Alexandria via LeMat-Bulk.

Values from the calculation:
VASP energy (Ry/atom): -0.5915
E_form (uncorrected) (eV/atom): -2.2700
Relative energy among the computed polymorphs (meV/atom): 46

Cell lengths 5.781, 4.912, 5.718 Å; angles 90.00, 110.75, 90.00 degrees
Space group P2_1/c (No. 14)
Inequivalent atoms, fractional coordinates:
Tm 0.000 0.000 0.000 [2 per cell]
Tc 0.500 0.000 0.500 [2 per cell]
O 0.173 0.160 0.381 [4 per cell]
O 0.377 0.714 0.677 [4 per cell]